Here is Ca3CePm2Se6 after structural relaxation from Alexandria. Energies are from PBE-GGA.

The structure belongs to space group C2/m (No. 12); the cell edges are 18.433, 4.174 and 8.472 Å and the angles 90.00°, 104.52° and 90.00°. The asymmetric unit holds Ca at (0.000, 0.000, 0.000), Ca at (0.167, 0.500, 0.333), Ce at (0.000, 0.000, 0.500), Pm at (0.168, 0.500, 0.835), Se at (0.001, 0.500, 0.246), Se at (0.166, 0.000, 0.086) and Se at (0.168, 0.000, 0.582).

The calculation puts the density of states at the Fermi level at 10.03 states/eV/f.u. The crystal system is monoclinic. For the raw formation energy, the calculation gives -1.890 eV per atom.